# GGA-PBE NaGdPO, optimized geometry
data_NaGdPO
_chemical_formula_sum 'Na2 Gd2 P2 O2'
_space_group_name_H-M_alt 'P m c 21'
_space_group_IT_number 26
_cell_length_a 4.0741
_cell_length_b 6.4682
_cell_length_c 5.6071
_cell_angle_alpha 90.00
_cell_angle_beta 90.00
_cell_angle_gamma 90.00
loop_
_space_group_symop_operation_xyz
'x,y,z'
'-x,-y,z+1/2'
'-x,y,z'
'x,-y,z+1/2'
loop_
_atom_site_label
_atom_site_type_symbol
_atom_site_fract_x
_atom_site_fract_y
_atom_site_fract_z
Na1 Na 0.0000 0.1254 0.0000
Gd1 Gd 0.5000 0.2613 0.5006
P1 P 0.0000 0.4996 0.2476
O1 O 0.5000 0.0000 0.2508
# Excess energy over the best structure of this formula in the dataset: 0.0 meV per atom
# Crystal system: orthorhombic
# DFT total energy: -5.702 eV/atom